Density functional theory data (GGA-PBEsol) for a relaxed Tl3AgS crystal.

Computed properties:
space group: Pm-3m (221)
VASP energy: -0.0982 hartree per atom

POSCAR file:
```
Tl3AgS
1.0
5.4359 0.0000 0.0000
0.0000 5.4359 0.0000
0.0000 0.0000 5.4359
S Ag Tl
1 1 3
direct
0.0000 0.0000 0.0000 S
0.5000 0.5000 0.5000 Ag
0.5000 0.0000 0.0000 Tl
0.0000 0.5000 0.0000 Tl
0.0000 0.0000 0.5000 Tl
```